A relaxed Rb2Na9Tl6 crystal, computed with PBE.

Cell lengths 6.9143, 6.9143, 15.8001 Å; angles 90.00, 90.00, 120.00 degrees
Positions (direct):
Rb: 0.0000 0.0000 0.6714
Rb: 0.0000 0.0000 0.3286
Na: 0.5000 0.0000 0.8363
Na: 0.0000 0.5000 0.8363
Na: 0.5000 0.5000 0.8363
Na: 0.5000 0.0000 0.1637
Na: 0.0000 0.5000 0.1637
Na: 0.5000 0.5000 0.1637
Na: 0.5000 0.0000 0.5000
Na: 0.0000 0.5000 0.5000
Na: 0.5000 0.5000 0.5000
Tl: 0.3333 0.6667 0.0000
Tl: 0.6667 0.3333 0.0000
Tl: 0.3333 0.6667 0.6682
Tl: 0.6667 0.3333 0.6682
Tl: 0.6667 0.3333 0.3318
Tl: 0.3333 0.6667 0.3318

Calculated values
As for the space group: P6/mmm. The formation energy is -0.18 eV/f.u.